[1]
VASP calculation (PBE-GGA) on crystalline Cu3AuS2 at its relaxed geometry.

a = 6.7008 Å, b = 6.7008 Å, c = 7.8055 Å
α = 94.20°, β = 94.20°, γ = 34.48°
Closest atoms and distances in Å follow each position.
Atoms (fractional coordinates):
Cu (0.0580, 0.0580, 0.1368)  4 S 2.32-2.47, 1 Cu 2.51
Cu (0.2787, 0.2787, 0.1021)  3 S 2.27-2.44
Cu (0.4008, 0.4008, 0.3955)  2 S 2.29-2.39
Cu (0.5992, 0.5992, 0.6045)  2 S 2.29-2.39
Cu (0.7213, 0.7213, 0.8979)  3 S 2.27-2.44
Cu (0.9420, 0.9420, 0.8632)  4 S 2.32-2.47, 1 Cu 2.51
Au (0.1909, 0.1909, 0.4201)  2 S 2.68, 5 Cu 2.68-2.80, 2 Au 2.74
Au (0.8091, 0.8091, 0.5799)  2 S 2.68, 5 Cu 2.68-2.80, 2 Au 2.74
S (0.1352, 0.1352, 0.8773)  5 Cu 2.27-2.47
S (0.4344, 0.4344, 0.7013)  4 Cu 2.29-2.39
S (0.5656, 0.5656, 0.2987)  4 Cu 2.29-2.39
S (0.8648, 0.8648, 0.1227)  5 Cu 2.27-2.47

Calculated values
**Space group**: C2/m (12)
**Total magnetic moment**: 0.0 μB/cell
**Formation energy (no corrections)**: -0.03 eV/atom



[2]
VASP calculation (PBE-GGA) on crystalline Cu2Au2S at its relaxed geometry.

a = 6.7815 Å, b = 6.7815 Å, c = 3.6088 Å
α = 90.00°, β = 90.00°, γ = 90.00°
Closest atoms and distances in Å follow each position.
Atoms (fractional coordinates):
Cu (0.1420, 0.3580, 0.0000)  6 Au 2.67-2.70, 1 Cu 2.72
Cu (0.3580, 0.8580, 0.0000)  6 Au 2.67-2.70, 1 Cu 2.72
Cu (0.6420, 0.1420, 0.0000)  6 Au 2.67-2.70, 1 Cu 2.72
Cu (0.8580, 0.6420, 0.0000)  6 Au 2.67-2.70, 1 Cu 2.72
Au (0.1532, 0.6532, 0.5000)  2 S 2.57, 6 Cu 2.67-2.70
Au (0.3468, 0.1532, 0.5000)  2 S 2.57, 6 Cu 2.67-2.70
Au (0.6532, 0.8468, 0.5000)  2 S 2.57, 6 Cu 2.67-2.70
Au (0.8468, 0.3468, 0.5000)  2 S 2.57, 6 Cu 2.67-2.70
S (0.0000, 0.0000, 0.5000)  4 Au 2.57
S (0.5000, 0.5000, 0.5000)  4 Au 2.57

Calculated values
**Space group**: P4/mbm (127)
**Total magnetic moment**: 0.0 μB/cell
**Formation energy (no corrections)**: 0.24 eV/atom
**Distance to the lowest polymorph of the same formula**: 0.132 eV per atom



[3]
VASP calculation (PBE-GGA) on crystalline CuAuS4 at its relaxed geometry.

a = 7.5167 Å, b = 7.5167 Å, c = 5.8354 Å
α = 112.77°, β = 112.77°, γ = 61.00°
Closest atoms and distances in Å follow each position.
Atoms (fractional coordinates):
Cu (0.0000, 0.5000, 0.0000)  4 S 2.29-2.40
Cu (0.5000, 0.0000, 0.5000)  4 S 2.29-2.40
Au (0.2170, 0.7830, 0.7500)  4 S 2.43-2.45
Au (0.7830, 0.2170, 0.2500)  4 S 2.43-2.45
S (0.0268, 0.3770, 0.3391)  1 S 2.07
S (0.2360, 0.6345, 0.3047)  1 S 2.04, 1 Cu 2.29
S (0.3655, 0.7640, 0.1953)  1 S 2.04, 1 Cu 2.29
S (0.3770, 0.0268, 0.8391)  1 S 2.07
S (0.6230, 0.9732, 0.1609)  1 S 2.07
S (0.6345, 0.2360, 0.8047)  1 S 2.04, 1 Cu 2.29
S (0.7640, 0.3655, 0.6953)  1 S 2.04, 1 Cu 2.29
S (0.9732, 0.6230, 0.6609)  1 S 2.07

Calculated values
**Space group**: C2/c (15)
**Total magnetic moment**: 0.0 μB/cell
**Formation energy (no corrections)**: 0.05 eV/atom



[4]
VASP calculation (PBE-GGA) on crystalline Cu2Au2S at its relaxed geometry.

a = 6.1944 Å, b = 6.1944 Å, c = 4.1419 Å
α = 90.00°, β = 90.00°, γ = 90.00°
Closest atoms and distances in Å follow each position.
Atoms (fractional coordinates):
Cu (0.1473, 0.3527, 0.0000)  2 S 2.37, 1 Cu 2.58
Cu (0.3527, 0.8527, 0.0000)  2 S 2.37, 1 Cu 2.58
Cu (0.6473, 0.1473, 0.0000)  2 S 2.37, 1 Cu 2.58
Cu (0.8527, 0.6473, 0.0000)  2 S 2.37, 1 Cu 2.58
Au (0.1561, 0.6561, 0.5000)  6 Cu 2.69-2.80, 1 Au 2.73
Au (0.3439, 0.1561, 0.5000)  6 Cu 2.69-2.80, 1 Au 2.73
Au (0.6561, 0.8439, 0.5000)  6 Cu 2.69-2.80, 1 Au 2.73
Au (0.8439, 0.3439, 0.5000)  6 Cu 2.69-2.80, 1 Au 2.73
S (0.0000, 0.0000, 0.0000)  4 Cu 2.37
S (0.5000, 0.5000, 0.0000)  4 Cu 2.37

Calculated values
**Space group**: P4/mbm (127)
**Total magnetic moment**: 0.0 μB/cell
**Formation energy (no corrections)**: 0.11 eV/atom
**Distance to the lowest polymorph of the same formula**: 0.000 eV per atom



[5]
VASP calculation (PBE-GGA) on crystalline Cu5Au2S4 at its relaxed geometry.

a = 6.1822 Å, b = 6.1822 Å, c = 7.8531 Å
α = 120.30°, β = 120.30°, γ = 49.80°
Closest atoms and distances in Å follow each position.
Atoms (fractional coordinates):
Cu (0.0000, 0.0000, 0.0000)  4 S 2.27-2.39
Cu (0.1014, 0.6071, 0.4350)  2 S 2.19-2.23
Cu (0.3929, 0.8986, 0.5650)  2 S 2.19-2.23
Cu (0.6071, 0.1014, 0.4350)  2 S 2.19-2.23
Cu (0.8986, 0.3929, 0.5650)  2 S 2.19-2.23
Au (0.4072, 0.4072, 0.7772)  6 Cu 2.74-2.98, 1 Au 2.91, 2 S 3.02
Au (0.5928, 0.5928, 0.2228)  6 Cu 2.74-2.98, 1 Au 2.91, 2 S 3.02
S (0.0075, 0.0075, 0.7014)  3 Cu 2.23-2.39
S (0.2427, 0.2427, 0.1676)  3 Cu 2.19-2.27
S (0.7573, 0.7573, 0.8324)  3 Cu 2.19-2.27
S (0.9925, 0.9925, 0.2986)  3 Cu 2.23-2.39

Calculated values
**Space group**: C2/m (12)
**Total magnetic moment**: 0.0 μB/cell
**Formation energy (no corrections)**: 0.04 eV/atom



[6]
VASP calculation (PBE-GGA) on crystalline Cu2SbAuS4 at its relaxed geometry.

a = 6.7485 Å, b = 6.7485 Å, c = 6.7485 Å
α = 131.20°, β = 131.20°, γ = 71.50°
Closest atoms and distances in Å follow each position.
Atoms (fractional coordinates):
Cu (0.2500, 0.7500, 0.5000)  4 S 2.31
Cu (0.7500, 0.2500, 0.5000)  4 S 2.31
Sb (0.0000, 0.0000, 0.0000)  4 S 2.48
Au (0.5000, 0.5000, 0.0000)  4 S 2.51
S (0.1082, 0.6131, 0.0000)  2 Cu 2.31, 1 Sb 2.48, 1 Au 2.51
S (0.3869, 0.3869, 0.4952)  2 Cu 2.31, 1 Sb 2.48, 1 Au 2.51
S (0.6131, 0.1082, 0.0000)  2 Cu 2.31, 1 Sb 2.48, 1 Au 2.51
S (0.8918, 0.8918, 0.5048)  2 Cu 2.31, 1 Sb 2.48, 1 Au 2.51

Calculated values
**Space group**: I-42m (121)
**Total magnetic moment**: 0.0 μB/cell
**Formation energy (no corrections)**: -0.12 eV/atom



[7]
VASP calculation (PBE-GGA) on crystalline Cu2SiAuS4 at its relaxed geometry.

a = 6.4004 Å, b = 6.4004 Å, c = 6.4004 Å
α = 129.52°, β = 129.52°, γ = 74.18°
Closest atoms and distances in Å follow each position.
Atoms (fractional coordinates):
Cu (0.2500, 0.7500, 0.5000)  4 S 2.31
Cu (0.7500, 0.2500, 0.5000)  4 S 2.31
Si (0.0000, 0.0000, 0.0000)  4 S 2.16
Au (0.5000, 0.5000, 0.0000)  4 S 2.50
S (0.0959, 0.0959, 0.4466)  1 Si 2.16, 2 Cu 2.31
S (0.3507, 0.9040, 0.0000)  1 Si 2.16, 2 Cu 2.31
S (0.6493, 0.6493, 0.5534)  1 Si 2.16, 2 Cu 2.31
S (0.9040, 0.3507, 0.0000)  1 Si 2.16, 2 Cu 2.31

Calculated values
**Space group**: I-42m (121)
**Total magnetic moment**: 0.0 μB/cell
**Formation energy (no corrections)**: -0.32 eV/atom



[8]
VASP calculation (PBE-GGA) on crystalline Cu2SnAuS4 at its relaxed geometry.

a = 6.7596 Å, b = 6.7596 Å, c = 6.7596 Å
α = 131.71°, β = 131.71°, γ = 70.68°
Closest atoms and distances in Å follow each position.
Atoms (fractional coordinates):
Cu (0.2500, 0.7500, 0.5000)  4 S 2.31
Cu (0.7500, 0.2500, 0.5000)  4 S 2.31
Sn (0.0000, 0.0000, 0.0000)  4 S 2.48
Au (0.5000, 0.5000, 0.0000)  4 S 2.49
S (0.1100, 0.6123, 0.0000)  2 Cu 2.31, 1 Sn 2.48, 1 Au 2.49
S (0.3877, 0.3877, 0.4977)  2 Cu 2.31, 1 Sn 2.48, 1 Au 2.49
S (0.6123, 0.1100, 0.0000)  2 Cu 2.31, 1 Sn 2.48, 1 Au 2.49
S (0.8900, 0.8900, 0.5023)  2 Cu 2.31, 1 Sn 2.48, 1 Au 2.49

Calculated values
**Space group**: I-42m (121)
**Total magnetic moment**: 0.0 μB/cell
**Formation energy (no corrections)**: -0.23 eV/atom



[9]
VASP calculation (PBE-GGA) on crystalline Cu2TcAuS at its relaxed geometry.

a = 4.8059 Å, b = 4.8059 Å, c = 4.2977 Å
α = 90.00°, β = 90.00°, γ = 90.00°
Closest atoms and distances in Å follow each position.
Atoms (fractional coordinates):
Cu (0.0000, 0.5000, 0.0000)  2 Tc 2.40
Cu (0.5000, 0.0000, 0.0000)  2 Tc 2.40
Tc (0.0000, 0.0000, 0.0000)  2 S 2.15, 4 Cu 2.40
Au (0.5000, 0.5000, 0.5000)  8 Cu 3.22, 4 S 3.40
S (0.0000, 0.0000, 0.5000)  2 Tc 2.15

Calculated values
**Space group**: P4/mmm (123)
**Total magnetic moment**: 0.4 μB/cell
**Formation energy (no corrections)**: 0.84 eV/atom



[10]
VASP calculation (PBE-GGA) on crystalline CuTe2AuS4 at its relaxed geometry.

a = 6.8160 Å, b = 6.0874 Å, c = 6.7527 Å
α = 63.88°, β = 53.31°, γ = 62.81°
Closest atoms and distances in Å follow each position.
Atoms (fractional coordinates):
Cu (0.0000, 0.0000, 0.0000)  4 S 2.35-2.39
Te (0.2559, 0.2559, 0.2441)  4 S 2.54-2.75
Te (0.7559, 0.7559, 0.7441)  4 S 2.54-2.75
Au (0.6167, 0.6167, 0.3833)  2 S 2.38
S (0.1202, 0.6980, 0.3020)  1 Cu 2.35, 2 Te 2.54
S (0.3886, 0.9401, 0.6114)  1 Au 2.38, 1 Cu 2.39
S (0.6980, 0.1202, 0.8798)  1 Cu 2.35, 2 Te 2.54
S (0.9401, 0.3886, 0.0599)  1 Au 2.38, 1 Cu 2.39

Calculated values
**Space group**: Fmm2 (42)
**Total magnetic moment**: 0.0 μB/cell
**Formation energy (no corrections)**: 0.13 eV/atom



[11]
VASP calculation (PBE-GGA) on crystalline TiCuAuS2 at its relaxed geometry.

a = 4.4678 Å, b = 4.4678 Å, c = 4.7435 Å
α = 90.00°, β = 90.00°, γ = 90.00°
Closest atoms and distances in Å follow each position.
Atoms (fractional coordinates):
Ti (0.0000, 0.0000, 0.0000)  4 Au 3.16, 8 S 3.26
Cu (0.5000, 0.5000, 0.5000)  4 S 2.23, 2 Au 2.37
Au (0.5000, 0.5000, 0.0000)  2 Cu 2.37
S (0.0000, 0.5000, 0.5000)  2 Cu 2.23
S (0.5000, 0.0000, 0.5000)  2 Cu 2.23

Calculated values
**Space group**: P4/mmm (123)
**Total magnetic moment**: 0.0 μB/cell
**Formation energy (no corrections)**: 0.40 eV/atom



[12]
VASP calculation (PBE-GGA) on crystalline TiCu2AuS4 at its relaxed geometry.

a = 6.6710 Å, b = 6.6693 Å, c = 5.3997 Å
α = 66.14°, β = 66.11°, γ = 47.75°
Closest atoms and distances in Å follow each position.
Atoms (fractional coordinates):
Ti (0.0000, 0.0000, 0.0000)  4 S 2.30
Cu (0.2498, 0.2498, 0.2502)  4 S 2.30
Cu (0.7498, 0.7498, 0.7502)  4 S 2.30
Au (0.4995, 0.4995, 0.5005)  4 S 2.50
S (0.1010, 0.6331, 0.3669)  2 Cu 2.30, 1 Ti 2.30, 1 Au 2.50
S (0.3671, 0.8985, 0.6329)  2 Cu 2.30, 1 Ti 2.30, 1 Au 2.50
S (0.6331, 0.1010, 0.8990)  2 Cu 2.30, 1 Ti 2.30, 1 Au 2.50
S (0.8985, 0.3671, 0.1015)  2 Cu 2.30, 1 Ti 2.30, 1 Au 2.50

Calculated values
**Space group**: Fmm2 (42)
**Total magnetic moment**: 0.0 μB/cell
**Formation energy (no corrections)**: -0.50 eV/atom



Copy entry 9 word for word.
VASP calculation (PBE-GGA) on crystalline Cu2TcAuS at its relaxed geometry.

a = 4.8059 Å, b = 4.8059 Å, c = 4.2977 Å
α = 90.00°, β = 90.00°, γ = 90.00°
Closest atoms and distances in Å follow each position.
Atoms (fractional coordinates):
Cu (0.0000, 0.5000, 0.0000)  2 Tc 2.40
Cu (0.5000, 0.0000, 0.0000)  2 Tc 2.40
Tc (0.0000, 0.0000, 0.0000)  2 S 2.15, 4 Cu 2.40
Au (0.5000, 0.5000, 0.5000)  8 Cu 3.22, 4 S 3.40
S (0.0000, 0.0000, 0.5000)  2 Tc 2.15

Calculated values
**Space group**: P4/mmm (123)
**Total magnetic moment**: 0.4 μB/cell
**Formation energy (no corrections)**: 0.84 eV/atom



Q: Which of these has the lowest formation energy (no corrections)?
A: TiCu2AuS4



Q: Which of these has the lowest formation energy (no corrections)?
A: TiCu2AuS4